(1)
The following is a DFT calculation (GGA-PBEsol) of a relaxed structure of ZrAg3.

The structure in POSCAR format:
```
ZrAg3
1.0
-1.698 -1.955 1.300
4.065 -2.503 -1.685
1.824 1.435 4.540
Zr Ag
1 3
direct
0.500 0.000 0.000
0.747 0.494 0.745
0.253 0.506 0.255
0.000 0.000 0.500
```

* calculated formation energy: -0.008 eV/atom
* calculated volume: 17.7 Å³ per atom
* space group: C2/m, No. 12
* DOS(E_F): 0.471 states/eV/atom

=====

(2)
The following is a DFT calculation (GGA-PBEsol) of a relaxed structure of GaSi2Ge.

The structure in POSCAR format:
```
GaSi2Ge
1.0
5.602 0.000 0.000
0.000 5.602 0.000
-2.801 -2.801 5.461
Ge Si Ga
2 4 2
direct
0.250 0.750 0.500
0.000 0.000 0.000
0.373 0.875 0.250
0.877 0.375 0.250
0.125 0.123 0.750
0.625 0.627 0.750
0.750 0.250 0.500
0.500 0.500 0.000
```

* E_form (uncorrected): 0.166 eV/atom
* calculated volume: 21.4 Å³ per atom
* space group: I-42d, No. 122
* DOS(E_F): 0.489 states/eV/atom

=====

(3)
The following is a DFT calculation (GGA-PBEsol) of a relaxed structure of ScTlOs2.

The structure in POSCAR format:
```
ScTlOs2
1.0
-3.769 -0.379 1.175
-0.300 -3.380 -2.054
3.306 -0.287 3.819
Os Sc Tl
2 1 1
direct
0.000 0.000 0.000
0.750 0.250 0.500
0.500 0.500 0.000
0.250 0.750 0.500
```

* calculated formation energy: 0.362 eV/atom
* calculated volume: 16.6 Å³ per atom
* space group: I-4m2, No. 119
* DOS(E_F): 1.147 states/eV/atom

=====

(4)
The following is a DFT calculation (GGA-PBEsol) of a relaxed structure of KZrCr2.

The structure in POSCAR format:
```
KZrCr2
1.0
-2.443 1.643 -0.641
-1.758 -2.183 1.107
0.427 3.909 8.387
Cr K Zr
2 1 1
direct
0.000 0.000 0.037
0.500 0.500 0.158
0.000 0.000 0.463
0.500 0.500 0.842
```

* calculated formation energy: 0.665 eV/atom
* offset from the most stable computed form: 0.00 eV per formula unit
* calculated volume: 21.0 Å³ per atom
* space group: P4mm, No. 99
* DOS(E_F): 0.905 states/eV/atom

=====

(5)
The following is a DFT calculation (GGA-PBEsol) of a relaxed structure of Na3SiGe.

The structure in POSCAR format:
```
Na3SiGe
1.0
-0.451 5.358 -0.227
-4.865 -0.313 2.279
2.256 0.396 4.870
Na Ge Si
3 1 1
direct
0.000 0.500 0.000
0.000 0.000 0.500
0.500 0.000 0.000
0.500 0.500 0.500
0.000 0.000 0.000
```

* E_form (uncorrected): 0.688 eV/atom
* calculated volume: 31.2 Å³ per atom
* space group: Pm-3m, No. 221
* DOS(E_F): 0.708 states/eV/atom

=====

(6)
The following is a DFT calculation (GGA-PBEsol) of a relaxed structure of La2Rh2Au.

The structure in POSCAR format:
```
La2Rh2Au
1.0
-2.909 2.523 0.438
-4.386 -5.477 2.433
2.203 1.330 6.966
Rh Au La
4 2 4
direct
0.000 0.366 0.866
0.000 0.866 0.634
0.000 0.634 0.134
0.000 0.134 0.366
0.000 0.000 0.000
0.000 0.500 0.500
0.500 0.175 0.675
0.500 0.675 0.825
0.500 0.825 0.325
0.500 0.325 0.175
```

* calculated formation energy: -0.684 eV/atom
* offset from the most stable computed form: 0.00 eV per formula unit
* calculated volume: 21.4 Å³ per atom
* space group: P4/mbm, No. 127
* DOS(E_F): 0.621 states/eV/atom

=====

(7)
The following is a DFT calculation (GGA-PBEsol) of a relaxed structure of ZnSiOs2C.

The structure in POSCAR format:
```
ZnSiOs2C
1.0
-1.915 0.125 -3.857
-3.588 -1.790 1.723
-1.553 3.978 0.900
C Zn Os Si
1 1 2 1
direct
0.500 0.500 0.500
0.500 0.000 0.000
0.000 0.000 0.500
0.000 0.500 0.000
0.000 0.000 0.000
```

* E_form (uncorrected): 2.426 eV/atom
* calculated volume: 16.4 Å³ per atom
* space group: P4/mmm, No. 123
* DOS(E_F): 1.009 states/eV/atom

=====

(8)
The following is a DFT calculation (GGA-PBEsol) of a relaxed structure of FeCo2.

The structure in POSCAR format:
```
FeCo2
1.0
2.416 0.000 -0.016
0.000 3.865 0.000
-0.205 0.000 6.889
Co Fe
4 2
direct
0.903 0.000 0.832
0.500 0.500 0.000
0.097 0.000 0.168
0.500 0.000 0.500
0.810 0.500 0.333
0.190 0.500 0.667
```

* calculated formation energy: 0.049 eV/atom
* calculated volume: 10.7 Å³ per atom
* space group: P2/m, No. 10
* DOS(E_F): 0.838 states/eV/atom

=====

> What is the formula in the third record?

ScTlOs2